(1)
Entry from Alexandria via LeMat-Bulk: a relaxed structure of Mn2Cr2C (GGA-PBE).

a b c (Å): 5.0454 5.0454 4.1274
angles (deg): 90.00 90.00 90.00
Positions (direct):
1 Cr 0.1659 0.6659 0.5000
2 Cr 0.6659 0.8341 0.5000
3 Cr 0.8341 0.3341 0.5000
4 Cr 0.3341 0.1659 0.5000
5 C 0.0000 0.0000 0.0000
6 C 0.5000 0.5000 0.0000
7 Mn 0.3406 0.8406 0.0000
8 Mn 0.8406 0.6594 0.0000
9 Mn 0.6594 0.1594 0.0000
10 Mn 0.1594 0.3406 0.0000

Space-group type: No. 127
ΔE to the lowest computed polymorph, eV/atom: 0.000

=====

(2)
Entry from Alexandria via LeMat-Bulk: a relaxed structure of MnCr3C (GGA-PBE).

a b c (Å): 3.7895 3.7895 3.7895
angles (deg): 90.00 90.00 90.00
Positions (direct):
1 Cr 0.0000 0.5000 0.0000
2 Cr 0.0000 0.0000 0.5000
3 Cr 0.5000 0.0000 0.0000
4 C 0.0000 0.0000 0.0000
5 Mn 0.5000 0.5000 0.5000

Space-group type: No. 221
ΔE to the lowest computed polymorph, eV/atom: 0.000

=====

(3)
Entry from Alexandria via LeMat-Bulk: a relaxed structure of Mn2Cr2C (GGA-PBE).

a b c (Å): 2.9282 2.9282 6.8808
angles (deg): 77.71 77.71 90.00
Last column: magnetic moment on the atom in μB.
Positions (direct):
1 Cr 0.7500 0.2500 0.5000  -0.20
2 Cr 0.2500 0.7500 0.5000  -0.20
3 C 0.0000 0.0000 0.0000  -0.19
4 Mn 0.4154 0.4154 0.1691  1.31
5 Mn 0.5846 0.5846 0.8309  1.31

Space-group type: No. 139
ΔE to the lowest computed polymorph, eV/atom: 0.790

=====

(4)
Entry from Alexandria via LeMat-Bulk: a relaxed structure of Mn21Cr2C6 (GGA-PBE).

a b c (Å): 7.3614 7.3614 7.3614
angles (deg): 60.00 60.00 60.00
Last column: magnetic moment on the atom in μB.
Positions (direct):
1 Mn 0.0000 0.0000 0.0000  -1.11
2 Mn 0.6190 0.6190 0.1430  1.48
3 Mn 0.6190 0.6190 0.6190  1.48
4 Mn 0.6190 0.1430 0.6190  1.48
5 Mn 0.1430 0.6190 0.6190  1.48
6 Mn 0.3810 0.3810 0.8570  1.48
7 Mn 0.3810 0.3810 0.3810  1.48
8 Mn 0.3810 0.8570 0.3810  1.48
9 Mn 0.8570 0.3810 0.3810  1.48
10 Mn 0.6663 0.0000 0.3337  0.77
11 Mn 0.0000 0.6663 0.3337  0.77
12 Mn 0.0000 0.0000 0.3337  0.77
13 Mn 0.0000 0.6663 0.0000  0.77
14 Mn 0.6663 0.0000 0.0000  0.77
15 Mn 0.0000 0.0000 0.6663  0.77
16 Mn 0.0000 0.3337 0.0000  0.77
17 Mn 0.0000 0.3337 0.6663  0.77
18 Mn 0.6663 0.3337 0.0000  0.77
19 Mn 0.3337 0.0000 0.6663  0.77
20 Mn 0.3337 0.0000 0.0000  0.77
21 Mn 0.3337 0.6663 0.0000  0.77
22 Cr 0.7500 0.7500 0.7500  -1.31
23 Cr 0.2500 0.2500 0.2500  -1.31
24 C 0.2752 0.7248 0.2752  -0.08
25 C 0.7248 0.2752 0.2752  -0.08
26 C 0.7248 0.7248 0.2752  -0.08
27 C 0.7248 0.2752 0.7248  -0.08
28 C 0.2752 0.7248 0.7248  -0.08
29 C 0.2752 0.2752 0.7248  -0.08

Space-group type: No. 225
E, eV/cell: -269.78

=====

(5)
Entry from Alexandria via LeMat-Bulk: a relaxed structure of Mn3CrC (GGA-PBE).

a b c (Å): 4.3305 4.3305 4.3305
angles (deg): 90.00 90.00 90.00
Last column: magnetic moment on the atom in μB.
Positions (direct):
1 Cr 0.0000 0.0000 0.0000  -2.05
2 C 0.5000 0.5000 0.5000  -0.36
3 Mn 0.0000 0.5000 0.0000  3.02
4 Mn 0.0000 0.0000 0.5000  3.00
5 Mn 0.5000 0.0000 0.0000  3.04

Space-group type: No. 221
ΔE to the lowest computed polymorph, eV/atom: 2.035

=====

(6)
Entry from Alexandria via LeMat-Bulk: a relaxed structure of Mn22CrC6 (GGA-PBE).

a b c (Å): 7.3639 7.3639 7.3639
angles (deg): 60.00 60.00 60.00
Last column: magnetic moment on the atom in μB.
Positions (direct):
1 Mn 0.7500 0.7500 0.7500  -2.35
2 Mn 0.2500 0.2500 0.2500  -2.35
3 Mn 0.6178 0.6178 0.1465  1.43
4 Mn 0.6178 0.6178 0.6178  1.43
5 Mn 0.6178 0.1465 0.6178  1.43
6 Mn 0.1465 0.6178 0.6178  1.43
7 Mn 0.3822 0.3822 0.8535  1.43
8 Mn 0.3822 0.3822 0.3822  1.43
9 Mn 0.3822 0.8535 0.3822  1.43
10 Mn 0.8535 0.3822 0.3822  1.43
11 Mn 0.6647 0.0000 0.3353  0.67
12 Mn 0.0000 0.6647 0.3353  0.67
13 Mn 0.0000 0.0000 0.3353  0.67
14 Mn 0.0000 0.6647 0.0000  0.67
15 Mn 0.6647 0.0000 0.0000  0.67
16 Mn 0.0000 0.0000 0.6647  0.67
17 Mn 0.0000 0.3353 0.0000  0.67
18 Mn 0.0000 0.3353 0.6647  0.67
19 Mn 0.6647 0.3353 0.0000  0.67
20 Mn 0.3353 0.0000 0.6647  0.67
21 Mn 0.3353 0.0000 0.0000  0.67
22 Mn 0.3353 0.6647 0.0000  0.67
23 Cr 0.0000 0.0000 0.0000  -0.57
24 C 0.2749 0.7251 0.2749  -0.07
25 C 0.7251 0.2749 0.2749  -0.07
26 C 0.7251 0.7251 0.2749  -0.07
27 C 0.7251 0.2749 0.7251  -0.07
28 C 0.2749 0.7251 0.7251  -0.07
29 C 0.2749 0.2749 0.7251  -0.07

Space-group type: No. 225
E, eV/cell: -268.73

=====

(7)
Entry from Alexandria via LeMat-Bulk: a relaxed structure of Mn8CrC2 (GGA-PBE).

a b c (Å): 3.8033 5.9912 5.9912
angles (deg): 77.28 94.48 94.48
Last column: magnetic moment on the atom in μB.
Positions (direct):
1 Mn 0.7306 0.1499 0.6234  2.92
2 Mn 0.2694 0.3766 0.8501  2.92
3 Mn 0.6854 0.2097 0.2097  -1.50
4 Mn 0.3146 0.7903 0.7903  -1.50
5 Mn 0.7306 0.6234 0.1499  2.92
6 Mn 0.2694 0.8501 0.3766  2.92
7 Mn 0.2310 0.4069 0.4069  -2.06
8 Mn 0.7690 0.5931 0.5931  -2.06
9 Cr 0.0000 0.0000 0.0000  -0.88
10 C 0.1855 0.1997 0.1997  0.08
11 C 0.8145 0.8003 0.8003  0.08

Space-group type: No. 12
E, eV/cell: -97.31

=====

(8)
Entry from Alexandria via LeMat-Bulk: a relaxed structure of MnCr3C (GGA-PBE).

a b c (Å): 4.1326 4.1326 4.1326
angles (deg): 90.00 90.00 90.00
Positions (direct):
1 Cr 0.0000 0.5000 0.0000
2 Cr 0.0000 0.0000 0.5000
3 Cr 0.5000 0.0000 0.0000
4 C 0.5000 0.5000 0.5000
5 Mn 0.0000 0.0000 0.0000

Space-group type: No. 221
ΔE to the lowest computed polymorph, eV/atom: 2.088

=====

(9)
Entry from Alexandria via LeMat-Bulk: a relaxed structure of Mn3CrC (GGA-PBE).

a b c (Å): 3.7266 3.7266 3.7266
angles (deg): 90.00 90.00 90.00
Positions (direct):
1 Cr 0.5000 0.5000 0.5000
2 C 0.0000 0.0000 0.0000
3 Mn 0.0000 0.5000 0.0000
4 Mn 0.0000 0.0000 0.5000
5 Mn 0.5000 0.0000 0.0000

Space-group type: No. 221
ΔE to the lowest computed polymorph, eV/atom: 0.060

=====

(10)
Entry from Alexandria via LeMat-Bulk: a relaxed structure of Mn3CrC (GGA-PBE).

a b c (Å): 4.7934 6.4762 6.3827
angles (deg): 98.81 90.00 90.00
Positions (direct):
1 Mn 0.1078 0.2897 0.1965
2 Mn 0.8922 0.7103 0.8035
3 Mn 0.6078 0.2103 0.3035
4 Mn 0.3922 0.7897 0.6965
5 Mn 0.1141 0.7083 0.3105
6 Mn 0.8859 0.2917 0.6895
7 Mn 0.6141 0.7917 0.1895
8 Mn 0.3859 0.2083 0.8105
9 Mn 0.7497 0.9490 0.5354
10 Mn 0.2503 0.0510 0.4646
11 Mn 0.2497 0.5510 0.9646
12 Mn 0.7503 0.4490 0.0354
13 Cr 0.7476 0.5546 0.4589
14 Cr 0.2524 0.4454 0.5411
15 Cr 0.2476 0.9455 0.0411
16 Cr 0.7524 0.0545 0.9589
17 C 0.4275 0.4956 0.2441
18 C 0.5725 0.5044 0.7559
19 C 0.9275 0.0044 0.2558
20 C 0.0725 0.9956 0.7442

Space-group type: No. 14
ΔE to the lowest computed polymorph, eV/atom: 0.000

=====

(11)
Entry from Alexandria via LeMat-Bulk: a relaxed structure of Mn5Cr4C2 (GGA-PBE).

a b c (Å): 2.6838 5.8847 7.2260
angles (deg): 94.39 90.00 90.00
Last column: magnetic moment on the atom in μB.
Positions (direct):
1 Mn 0.0000 0.5355 0.3349  1.50
2 Mn 0.0000 0.1709 0.1423  1.51
3 Mn 0.0000 0.5000 0.0000  -0.88
4 Mn 0.0000 0.8291 0.8577  1.51
5 Mn 0.0000 0.4645 0.6651  1.50
6 Cr 0.5000 0.8161 0.5559  -0.47
7 Cr 0.5000 0.1780 0.8374  -0.36
8 Cr 0.5000 0.1839 0.4441  -0.47
9 Cr 0.5000 0.8220 0.1626  -0.36
10 C 0.0000 0.0853 0.6460  0.03
11 C 0.0000 0.9147 0.3540  0.03

Space-group type: No. 10
E, eV/cell: -101.08

=====

(12)
Entry from Alexandria via LeMat-Bulk: a relaxed structure of MnCr2MoC (GGA-PBE).

a b c (Å): 3.8814 3.8814 3.7852
angles (deg): 90.00 90.00 90.00
Last column: magnetic moment on the atom in μB.
Positions (direct):
1 Cr 0.0000 0.5000 0.0000  0.40
2 Cr 0.5000 0.0000 0.0000  0.40
3 Mo 0.5000 0.5000 0.5000  -0.27
4 Mn 0.0000 0.0000 0.5000  1.16
5 C 0.0000 0.0000 0.0000  -0.05

Space-group type: No. 123
E, eV/cell: -48.15

=====

Number 1: calculated density 7.1 g/cm³. Number 2: calculated density 6.8 g/cm³. Number 3: calculated density 6.7 g/cm³. Number 4: calculated density 7.8 g/cm³. Number 5: calculated density 4.7 g/cm³. Number 6: calculated density 7.8 g/cm³. Number 7: calculated density 6.5 g/cm³. Number 8: calculated density 5.2 g/cm³. Number 9: calculated density 7.3 g/cm³. Number 10: calculated density 7.8 g/cm³. Number 11: calculated density 7.4 g/cm³. Number 12: calculated density 7.8 g/cm³.